Below is an optimized crystal structure of SnBi3N, with properties calculated at the GGA-PBE level.

Geometry as CIF:
```
data_SnBi3N
_cell_length_a 5.0289
_cell_length_b 5.0289
_cell_length_c 5.0289
_cell_angle_alpha 90.00
_cell_angle_beta 90.00
_cell_angle_gamma 90.00
_symmetry_space_group_name_H-M 'P m -3 m'
_symmetry_Int_Tables_number 221
_symmetry_space_group_name_Hall '-P 4 2 3'
loop_
_atom_site_label
_atom_site_fract_x
_atom_site_fract_y
_atom_site_fract_z
Sn1 0.0000 0.0000 0.0000
Bi1 0.0000 0.5000 0.5000
N1 0.5000 0.5000 0.5000
```

---

Below is an optimized crystal structure of SnBi3N, with properties calculated at the GGA-PBE level.

Geometry as CIF:
```
data_SnBi3N
_cell_length_a 5.7672
_cell_length_b 5.7672
_cell_length_c 5.7672
_cell_angle_alpha 90.00
_cell_angle_beta 90.00
_cell_angle_gamma 90.00
_symmetry_space_group_name_H-M 'P m -3 m'
_symmetry_Int_Tables_number 221
_symmetry_space_group_name_Hall '-P 4 2 3'
loop_
_atom_site_label
_atom_site_fract_x
_atom_site_fract_y
_atom_site_fract_z
Sn1 0.0000 0.0000 0.0000
Bi1 0.0000 0.0000 0.5000
N1 0.5000 0.5000 0.5000
```

---

Below is an optimized crystal structure of SnBi2N, with properties calculated at the GGA-PBE level.

Geometry as CIF:
```
data_SnBi2N
_cell_length_a 6.0062
_cell_length_b 6.0062
_cell_length_c 13.1670
_cell_angle_alpha 90.00
_cell_angle_beta 90.00
_cell_angle_gamma 90.00
_symmetry_space_group_name_H-M 'I -4 2 d'
_symmetry_Int_Tables_number 122
_symmetry_space_group_name_Hall 'I -4 2bw'
loop_
_atom_site_label
_atom_site_fract_x
_atom_site_fract_y
_atom_site_fract_z
Sn1 0.0000 0.0000 0.0000
Bi1 0.1517 0.2500 0.6250
N1 0.0000 0.0000 0.5000
```

---

Below is an optimized crystal structure of Tb4SnBiN, with properties calculated at the GGA-PBE level.

Geometry as CIF:
```
data_Tb4SnBiN
_cell_length_a 6.7101
_cell_length_b 16.1443
_cell_length_c 6.7074
_cell_angle_alpha 90.00
_cell_angle_beta 90.00
_cell_angle_gamma 90.00
_symmetry_space_group_name_H-M 'C m c m'
_symmetry_Int_Tables_number 63
_symmetry_space_group_name_Hall '-C 2c 2'
loop_
_atom_site_label
_atom_site_fract_x
_atom_site_fract_y
_atom_site_fract_z
Tb1 0.0000 0.0903 0.2500
Tb2 0.0000 0.4055 0.2500
Tb3 0.2500 0.2500 0.0000
Sn1 0.0000 0.1075 0.7500
Bi1 0.0000 0.3955 0.7500
N1 0.0000 0.2492 0.2500
```

---

Below is an optimized crystal structure of SnBiTeN2, with properties calculated at the GGA-PBE level.

Geometry as CIF:
```
data_SnBiTeN2
_cell_length_a 4.4823
_cell_length_b 4.4823
_cell_length_c 6.2599
_cell_angle_alpha 90.00
_cell_angle_beta 90.00
_cell_angle_gamma 90.00
_symmetry_space_group_name_H-M 'P 4/m m m'
_symmetry_Int_Tables_number 123
_symmetry_space_group_name_Hall '-P 4 2'
loop_
_atom_site_label
_atom_site_fract_x
_atom_site_fract_y
_atom_site_fract_z
Sn1 0.0000 0.0000 0.0000
Bi1 0.5000 0.5000 0.5000
Te1 0.5000 0.5000 0.0000
N1 0.0000 0.5000 0.5000
```

---

Below is an optimized crystal structure of SnBiTe2N, with properties calculated at the GGA-PBE level.

Geometry as CIF:
```
data_SnBiTe2N
_cell_length_a 5.9159
_cell_length_b 5.9159
_cell_length_c 3.9486
_cell_angle_alpha 90.00
_cell_angle_beta 90.00
_cell_angle_gamma 90.00
_symmetry_space_group_name_H-M 'P 4/m m m'
_symmetry_Int_Tables_number 123
_symmetry_space_group_name_Hall '-P 4 2'
loop_
_atom_site_label
_atom_site_fract_x
_atom_site_fract_y
_atom_site_fract_z
Sn1 0.0000 0.0000 0.0000
Bi1 0.5000 0.5000 0.5000
Te1 0.0000 0.5000 0.0000
N1 0.0000 0.0000 0.5000
```

---

Below is an optimized crystal structure of SnBiTeN2, with properties calculated at the GGA-PBE level.

Geometry as CIF:
```
data_SnBiTeN2
_cell_length_a 4.3275
_cell_length_b 4.3275
_cell_length_c 5.8620
_cell_angle_alpha 90.00
_cell_angle_beta 90.00
_cell_angle_gamma 90.00
_symmetry_space_group_name_H-M 'P 4/m m m'
_symmetry_Int_Tables_number 123
_symmetry_space_group_name_Hall '-P 4 2'
loop_
_atom_site_label
_atom_site_fract_x
_atom_site_fract_y
_atom_site_fract_z
Sn1 0.0000 0.0000 0.0000
Bi1 0.5000 0.5000 0.5000
Te1 0.0000 0.0000 0.5000
N1 0.0000 0.5000 0.0000
```

---

Below is an optimized crystal structure of SnBiTe2N, with properties calculated at the GGA-PBE level.

Geometry as CIF:
```
data_SnBiTe2N
_cell_length_a 6.0019
_cell_length_b 6.0019
_cell_length_c 4.3879
_cell_angle_alpha 90.00
_cell_angle_beta 90.00
_cell_angle_gamma 90.00
_symmetry_space_group_name_H-M 'P 4/m m m'
_symmetry_Int_Tables_number 123
_symmetry_space_group_name_Hall '-P 4 2'
loop_
_atom_site_label
_atom_site_fract_x
_atom_site_fract_y
_atom_site_fract_z
Sn1 0.0000 0.0000 0.0000
Bi1 0.5000 0.5000 0.5000
Te1 0.0000 0.5000 0.5000
N1 0.5000 0.5000 0.0000
```

---

Number 1: total DFT energy (no corrections) -21.554 eV per cell. Number 2: total DFT energy (no corrections) -14.292 eV per cell. Number 3: total DFT energy (no corrections) -70.687 eV per cell. Number 4: total DFT energy (no corrections) -165.509 eV per cell. Number 5: total DFT energy (no corrections) -20.881 eV per cell. Number 6: total DFT energy (no corrections) -19.291 eV per cell. Number 7: total DFT energy (no corrections) -21.543 eV per cell. Number 8: total DFT energy (no corrections) -18.327 eV per cell.